Record 1
DFT (GGA-PBE) results for a relaxed Ca2GeIr crystal.

abc: 7.835 7.835 7.835
angles: 95.19 95.19 144.98
Atoms (fractional coordinates):
Ca  0.375  0.198  0.323
Ca  0.802  0.125  0.177
Ca  0.875  0.052  0.677
Ca  0.948  0.625  0.823
Ge  0.250  0.750  0.500
Ge  0.500  0.500  0.000
Ir  0.000  0.000  0.000
Ir  0.750  0.250  0.500

Results
ΔH_f (0 K) ... -361 meV/atom
Space-group type ... No. 122
D(E_F) ... 1.6 states/eV/f.u.
ρ ... 4.4 g cm⁻³
Crystal system ... tetragonal
Calculated total energy ... -37.85 eV per cell
Total magnetization ... 0.00 μB/f.u.

Record 2
DFT (GGA-PBE) results for a relaxed SrMgC2I crystal.

abc: 4.791 4.791 5.167
angles: 90.00 90.00 90.00
Atoms (fractional coordinates):
Sr  0.000  0.000  0.000
Mg  0.500  0.500  0.000
C  0.000  0.500  0.500
C  0.500  0.000  0.500
I  0.500  0.500  0.500

Results
Space-group type ... No. 123
D(E_F) ... 4.0 states/eV/f.u.
ρ ... 3.7 g cm⁻³
Crystal system ... tetragonal
Calculated total energy ... -12.87 eV per cell
Total magnetization ... 0.00 μB/f.u.
Formation energy without anion corrections ... 10.4 eV per formula unit

Record 3
DFT (GGA-PBE) results for a relaxed NaLa2CdPb crystal.

abc: 5.811 5.811 5.199
angles: 90.00 90.00 90.00
Atoms (fractional coordinates):
Na  0.000  0.000  0.000
La  0.000  0.500  0.000
La  0.500  0.000  0.000
Cd  0.500  0.500  0.500
Pb  0.000  0.000  0.500

Results
ΔH_f (0 K) ... 433 meV/atom
Space-group type ... No. 123
Energy above the most stable polymorph in this dataset ... 0.0586 eV/atom
D(E_F) ... 6.2 states/eV/f.u.
ρ ... 5.9 g cm⁻³
Crystal system ... tetragonal
Calculated total energy ... -13.63 eV per cell
Total magnetization ... 0.50 μB/f.u.

Record 4
DFT (GGA-PBE) results for a relaxed DyPaS3 crystal.

abc: 7.348 3.873 14.913
angles: 90.00 90.00 90.00
Atoms (fractional coordinates):
Dy  0.241  0.250  0.044
Dy  0.259  0.750  0.544
Dy  0.741  0.250  0.456
Dy  0.759  0.750  0.956
Pa  0.123  0.750  0.289
Pa  0.377  0.250  0.789
Pa  0.623  0.750  0.211
Pa  0.877  0.250  0.711
S  0.006  0.750  0.108
S  0.124  0.250  0.429
S  0.152  0.750  0.724
S  0.348  0.250  0.224
S  0.376  0.750  0.929
S  0.494  0.250  0.608
S  0.506  0.750  0.392
S  0.624  0.250  0.071
S  0.652  0.750  0.776
S  0.848  0.250  0.276
S  0.876  0.750  0.571
S  0.994  0.250  0.892

Results
Space-group type ... No. 62
Energy above the most stable polymorph in this dataset ... 0.0000 eV/atom
D(E_F) ... 4.5 states/eV/f.u.
ρ ... 7.7 g cm⁻³
Crystal system ... orthorhombic
Calculated total energy ... -143.02 eV per cell
Total magnetization ... 0.83 μB/f.u.
Formation energy without anion corrections ... -9.3 eV per formula unit

Record 5
DFT (GGA-PBE) results for a relaxed Ho3CuSi2Pt9 crystal.

abc: 5.631 5.631 10.768
angles: 90.00 90.00 120.00
Atoms (fractional coordinates):
Ho  0.000  0.000  0.000
Ho  0.333  0.667  0.577
Ho  0.667  0.333  0.423
Cu  0.000  0.000  0.500
Si  0.333  0.667  0.165
Si  0.667  0.333  0.835
Pt  0.000  0.500  0.000
Pt  0.163  0.326  0.320
Pt  0.163  0.837  0.320
Pt  0.326  0.163  0.680
Pt  0.500  0.000  0.000
Pt  0.500  0.500  0.000
Pt  0.674  0.837  0.320
Pt  0.837  0.163  0.680
Pt  0.837  0.674  0.680

Results
Space-group type ... No. 164
D(E_F) ... 3.5 states/eV/f.u.
ρ ... 13.3 g cm⁻³
Crystal system ... trigonal
Calculated total energy ... -95.36 eV per cell
Total magnetization ... 0.00 μB/f.u.
Formation energy without anion corrections ... -12.3 eV per formula unit

Record 6
DFT (GGA-PBE) results for a relaxed CsMg2Te2 crystal.

abc: 9.207 9.207 4.016
angles: 90.00 90.00 90.00
Atoms (fractional coordinates):
Cs  0.000  0.000  0.000
Cs  0.500  0.500  0.000
Mg  0.117  0.383  0.500
Mg  0.383  0.883  0.500
Mg  0.617  0.117  0.500
Mg  0.883  0.617  0.500
Te  0.145  0.645  0.000
Te  0.355  0.145  0.000
Te  0.645  0.855  0.000
Te  0.855  0.355  0.000

Results
Space-group type ... No. 127
Energy above the most stable polymorph in this dataset ... 0.2750 eV/atom
D(E_F) ... 1.5 states/eV/f.u.
ρ ... 4.3 g cm⁻³
Crystal system ... tetragonal
Calculated total energy ... -25.08 eV per cell
Total magnetization ... 0.00 μB/f.u.
Formation energy without anion corrections ... -2.2 eV per formula unit